Record 1
Material: BaLaNF2
Method: DFT, PBE
State: optimized geometry

```
data_BaLaNF2
_chemical_formula_sum 'Ba1 La1 N1 F2'
_symmetry_space_group_name_H-M 'P 1'
_symmetry_Int_Tables_number 1
_symmetry_space_group_name_Hall 'P 1'
_cell_length_a 4.740
_cell_length_b 4.740
_cell_length_c 4.797
_cell_angle_alpha 90.00
_cell_angle_beta 90.00
_cell_angle_gamma 90.00
loop_
_atom_site_label
_atom_site_type_symbol
_atom_site_fract_x
_atom_site_fract_y
_atom_site_fract_z
Ba1 Ba 0.000 0.000 0.000
La1 La 0.500 0.500 0.500
N1 N 0.500 0.500 0.000
F1 F 0.000 0.500 0.500
F2 F 0.500 0.000 0.500
```

The value obtained for the total magnetization is 0.1 μB/f.u. The total energy is -6.196 eV/atom. For the energy above the lowest structure with this stoichiometry, the calculation gives 0.0 meV/atom. The calculation puts the formation energy without anion corrections at -2.41 eV per atom.

Record 2
Material: EuHoHgPd
Method: DFT, PBE
State: optimized geometry

```
data_EuHoHgPd
_chemical_formula_sum 'Eu1 Ho1 Hg1 Pd1'
_symmetry_space_group_name_H-M 'P 1'
_symmetry_Int_Tables_number 1
_symmetry_space_group_name_Hall 'P 1'
_cell_length_a 5.189
_cell_length_b 5.189
_cell_length_c 5.189
_cell_angle_alpha 60.00
_cell_angle_beta 60.00
_cell_angle_gamma 60.00
loop_
_atom_site_label
_atom_site_type_symbol
_atom_site_fract_x
_atom_site_fract_y
_atom_site_fract_z
Eu1 Eu 0.000 0.000 0.000
Ho1 Ho 0.500 0.500 0.500
Hg1 Hg 0.750 0.750 0.750
Pd1 Pd 0.250 0.250 0.250
```

The value obtained for the total magnetization is 7.0 μB/f.u. The total energy is -5.657 eV/atom. The value obtained for the formation energy from the elements is -0.57 eV/atom.

Record 3
Material: DyCoCuSi2
Method: DFT, PBE
State: optimized geometry

```
data_DyCoCuSi2
_chemical_formula_sum 'Dy1 Co1 Cu1 Si2'
_symmetry_space_group_name_H-M 'P 1'
_symmetry_Int_Tables_number 1
_symmetry_space_group_name_Hall 'P 1'
_cell_length_a 5.599
_cell_length_b 5.599
_cell_length_c 5.599
_cell_angle_alpha 138.47
_cell_angle_beta 138.47
_cell_angle_gamma 60.19
loop_
_atom_site_label
_atom_site_type_symbol
_atom_site_fract_x
_atom_site_fract_y
_atom_site_fract_z
Dy1 Dy 0.000 0.000 0.000
Co1 Co 0.750 0.250 0.500
Cu1 Cu 0.250 0.750 0.500
Si1 Si 0.376 0.376 0.000
Si2 Si 0.624 0.624 0.000
```

The value obtained for the total magnetization is 0.3 μB/f.u. The total energy is -5.983 eV/atom. The calculation puts the formation energy without anion corrections at -0.65 eV per atom.